[1]
The following is a DFT calculation (GGA-PBE) of an optimized crystal structure of HoPAu.

The structure belongs to space group R-3m (No. 166, hexagonal axes); the cell edges are 5.1085, 5.1085 and 16.7285 Å and the angles 90.00°, 90.00° and 120.00°. Symmetry generates all atoms from Ho at (0.0000, 0.0000, 0.0000), Ho at (0.0000, 0.0000, 0.5000), P at (0.0000, 0.0000, 0.1686) and Au at (0.0000, 0.0000, 0.3148).

As for the energy of formation: -0.6647 eV per atom. For the density of states at the Fermi level, the calculation gives 10.4 states/eV/cell.


[2]
The following is a DFT calculation (GGA-PBE) of an optimized crystal structure of Pr12Ho2Mg.

The structure belongs to space group P4/nbm (No. 125, origin choice 2); the cell edges are 6.652, 6.652 and 25.276 Å and the angles 90.00°, 90.00° and 90.00°. Symmetry generates all atoms from Pr at (0.066, 0.566, 0.107), Pr at (0.082, 0.582, 0.564), Pr at (0.250, 0.250, 0.210), Pr at (0.250, 0.250, 0.334), Ho at (0.250, 0.750, 0.268) and Mg at (0.250, 0.750, 0.000).

As for the energy of formation: 0.2898 eV per atom. For the density of states at the Fermi level, the calculation gives 36.9 states/eV/cell.


[3]
The following is a DFT calculation (GGA-PBE) of an optimized crystal structure of CaCeH2.

The structure belongs to space group R3m (No. 160, hexagonal axes); the cell edges are 3.4995, 3.4995 and 18.5500 Å and the angles 90.00°, 90.00° and 120.00°. Symmetry generates all atoms from Ca at (0.0000, 0.0000, 0.0000), Ce at (0.0000, 0.0000, 0.8251), H at (0.0000, 0.0000, 0.2404) and H at (0.0000, 0.0000, 0.4128).

For the density of states at the Fermi level, the calculation gives 18.1 states/eV/cell. The relative energy among the computed polymorphs is 0.043 eV/atom.